Computed, not measured: a relaxed structure of Ac4GaSiBr2 at the GGA-PBE level of DFT.

Lattice parameters (Å, degrees): 4.639 8.053 7.955 109.82 90.00 90.00
Element x y z (fractional)
Br 0.000 0.500 0.500
Br 0.500 0.000 0.500
Ac 0.500 0.238 0.219
Ac 0.500 0.762 0.781
Ac 0.000 0.742 0.221
Ac 0.000 0.258 0.779
Ga 0.500 0.500 0.000
Si 0.000 0.000 0.000

Results
**Size of the total moment**: 0.00 μB/cell
**Space group**: P2/m, No. 10
**E**: -4.494 eV/atom